Entry 1:
Entry from the Alexandria database: TmCdInCu after structural relaxation (GGA-PBE).

Values from the calculation:
ΔH_f (0 K) = -0.201 eV per atom
Final energy = -13.03 eV/f.u.

The structure in POSCAR format:
```
TmCdInCu
1.0
4.8799 0.0000 0.0000
2.4400 4.2262 0.0000
2.4400 1.4087 3.9845
Cu Cd Tm In
1 1 1 1
Direct
0.2500 0.2500 0.2500
0.7500 0.7500 0.7500
0.5000 0.5000 0.5000
0.0000 0.0000 0.0000
```

---

Entry 2:
Entry from the Alexandria database: BeCo2Tc after structural relaxation (GGA-PBE).

Values from the calculation:
E above lowest polymorph = 0.1377 eV per atom
ΔH_f (0 K) = -0.030 eV per atom
Final energy = -28.42 eV/f.u.

The structure in POSCAR format:
```
BeCo2Tc
1.0
-2.1439 0.0583 -1.4150
-1.7760 -1.4635 2.6303
-1.0430 4.4343 1.7631
Co Tc Be
2 1 1
Direct
0.0000 0.0000 0.9842
0.0000 0.0000 0.5158
0.5000 0.5000 0.2500
0.5000 0.5000 0.7500
```

---

Entry 3:
Entry from the Alexandria database: La3TlH after structural relaxation (GGA-PBE).

Values from the calculation:
E above lowest polymorph = 0.0626 eV per atom
Final energy = -21.82 eV/f.u.

The structure in POSCAR format:
```
La3TlH
1.0
-4.7455 0.6147 -2.1733
2.4598 -0.9081 -5.6280
-0.6751 -7.9412 5.5828
Tl La H
2 6 2
Direct
0.5806 0.2326 0.1613
0.4194 0.7674 0.8387
0.1903 0.4454 0.3807
0.3216 0.1501 0.6432
0.6784 0.8499 0.3568
0.0401 0.8030 0.0801
0.8097 0.5546 0.6193
0.9599 0.1970 0.9199
0.8183 0.1651 0.6367
0.1817 0.8349 0.3633
```